[1]
Here is an optimized crystal structure of RbBH4 from Alexandria via LeMat-Bulk. Energies are from GGA-PBE.

```
12
Lattice="1.621 -6.445 0.000 1.621 6.445 0.000 0.000 0.000 5.640" Properties=species:S:1:pos:R:3 pbc="T T T"
Rb 1.621 4.866 4.230
Rb 1.621 -4.866 1.410
B 1.621 1.290 4.230
B 1.621 -1.290 1.410
H 1.621 5.353 1.410
H 1.621 2.091 3.291
H 1.621 2.091 5.168
H 1.621 0.000 0.000
H 1.621 0.000 2.820
H 1.621 -2.091 0.471
H 1.621 -2.091 2.348
H 1.621 -5.353 4.230
```

Computed properties:
Total magnetic moment in μB/atom: 0.000
E_tot in eV per atom: -3.313

---

[2]
Here is an optimized crystal structure of Pm5YBi6 from Alexandria via LeMat-Bulk. Energies are from GGA-PBE.

```
12
Lattice="3.954 -6.848 0.000 3.954 6.848 0.000 -2.637 0.000 7.452" Properties=species:S:1:pos:R:3 pbc="T T T"
Pm 0.000 0.000 0.000
Pm 2.636 4.572 3.726
Pm 3.954 2.302 0.000
Pm 3.954 -2.302 0.000
Pm 2.636 -4.572 3.726
Y 2.636 0.000 3.726
Bi 1.332 2.261 1.882
Bi 0.027 0.000 5.581
Bi 1.332 -2.261 1.882
Bi 3.939 2.261 5.570
Bi 5.244 0.000 1.871
Bi 3.939 -2.261 5.570
```

Computed properties:
Total magnetic moment in μB/atom: 0.000
E_tot in eV per atom: -5.391
Calculated formation energy in eV per atom: -0.93

---

[3]
Here is an optimized crystal structure of La2AsO from Alexandria via LeMat-Bulk. Energies are from GGA-PBE.

```
4
Lattice="1.958 1.130 7.053 -1.958 1.130 7.053 0.000 -2.261 7.053" Properties=species:S:1:pos:R:3 pbc="T T T"
La 0.000 0.000 0.000
La 0.000 0.000 3.281
As 0.000 0.000 12.205
O 0.000 0.000 8.514
```

Computed properties:
Total magnetic moment in μB/atom: 0.004
Energy above the lowest structure with this stoichiometry in meV per atom: 219.8
E_tot in eV per atom: -6.745
Formation energy (no corrections) in eV per atom: -1.8789

---

- Look up the E_tot of the first one.
  -3.313 eV per atom

---

- Which value of total magnetic moment does entry 3 give?
  0.004 μB/atom

---

Repeat the second record exactly.
Here is an optimized crystal structure of Pm5YBi6 from Alexandria via LeMat-Bulk. Energies are from GGA-PBE.

```
12
Lattice="3.954 -6.848 0.000 3.954 6.848 0.000 -2.637 0.000 7.452" Properties=species:S:1:pos:R:3 pbc="T T T"
Pm 0.000 0.000 0.000
Pm 2.636 4.572 3.726
Pm 3.954 2.302 0.000
Pm 3.954 -2.302 0.000
Pm 2.636 -4.572 3.726
Y 2.636 0.000 3.726
Bi 1.332 2.261 1.882
Bi 0.027 0.000 5.581
Bi 1.332 -2.261 1.882
Bi 3.939 2.261 5.570
Bi 5.244 0.000 1.871
Bi 3.939 -2.261 5.570
```

Computed properties:
Total magnetic moment in μB/atom: 0.000
E_tot in eV per atom: -5.391
Calculated formation energy in eV per atom: -0.93